[1]
This record from Alexandria describes crystalline Sm4PSe3 at its relaxed geometry. The functional is PBE.

Structure (POSCAR):
```
Sm4PSe3
1.0
-0.4377 -4.1054 -0.2004
6.2025 -0.4818 -3.6785
1.4006 -0.4946 7.0731
Sm Se P
4 3 1
Direct
0.0000 0.7677 0.7677
0.5000 0.7611 0.2389
0.5000 0.2389 0.7611
0.0000 0.2323 0.2323
0.0000 0.0000 0.5000
0.0000 0.5000 0.0000
0.5000 0.5000 0.5000
0.5000 0.0000 0.0000
```

Computed properties:
**Size of the total moment**: 0.00 μB/f.u.
**E_form (uncorrected)**: -1.820 eV/atom
**Total energy**: -6.16 eV per atom



[2]
This record from Alexandria describes crystalline Sm2PSe at its relaxed geometry. The functional is PBE.

Structure (POSCAR):
```
Sm2PSe
1.0
4.1191 0.0000 0.0000
0.0000 5.8449 0.0000
0.0000 0.0000 8.3658
Sm P Se
4 2 2
Direct
0.5000 0.5000 0.6118
0.0000 0.0000 0.8543
0.0000 0.0000 0.3882
0.5000 0.5000 0.1457
0.0000 0.5000 0.3752
0.5000 0.0000 0.6248
0.5000 0.0000 0.1207
0.0000 0.5000 0.8793
```

Computed properties:
**Size of the total moment**: 0.00 μB/f.u.
**E_form (uncorrected)**: -1.783 eV/atom
**Total energy**: -6.37 eV per atom
**Offset from the most stable computed form**: 0.004 eV/atom



[3]
This record from Alexandria describes crystalline Sm2PSe at its relaxed geometry. The functional is PBE.

Structure (POSCAR):
```
Sm2PSe
1.0
-0.8545 1.0543 3.8253
-3.8545 0.0841 1.2692
-1.0603 -6.4661 3.6987
Sm Se P
2 1 1
Direct
0.2587 0.2587 0.2239
0.0745 0.0745 0.7764
0.4989 0.4989 0.5034
0.6679 0.6679 0.9963
```

Computed properties:
**Size of the total moment**: 0.00 μB/f.u.
**E_form (uncorrected)**: -1.719 eV/atom
**Total energy**: -6.30 eV per atom
**Offset from the most stable computed form**: 0.068 eV/atom



[4]
This record from Alexandria describes crystalline Sm4P2Se at its relaxed geometry. The functional is PBE.

Structure (POSCAR):
```
Sm4P2Se
1.0
-2.3029 -3.2794 -0.6524
1.7102 -3.6776 -0.1838
-1.8831 -3.7631 12.9300
Sm P Se
4 2 1
Direct
0.7133 0.7133 0.8602
0.1265 0.1265 0.6204
0.8735 0.8735 0.3796
0.2867 0.2867 0.1398
0.5801 0.5801 0.2596
0.4199 0.4199 0.7404
0.0000 0.0000 0.0000
```

Computed properties:
**Size of the total moment**: 1.17 μB/f.u.
**E_form (uncorrected)**: -1.427 eV/atom
**Total energy**: -6.17 eV per atom



[5]
This record from Alexandria describes crystalline Sm7P4Se4 at its relaxed geometry. The functional is PBE.

Structure (POSCAR):
```
Sm7P4Se4
1.0
-1.8186 -6.1058 3.7922
-4.0367 -7.5032 -6.7692
8.5032 -6.7781 0.4122
Sm Se P
14 8 8
Direct
0.7215 0.2785 0.2785
0.5000 0.6391 0.3609
0.7092 0.0000 0.5816
0.5000 0.3609 0.6391
0.2785 0.7215 0.7215
0.8609 0.6391 0.6391
0.0000 0.7215 0.2785
0.2444 0.0000 0.0000
0.7092 0.5816 0.0000
0.7556 0.0000 0.0000
0.1391 0.3609 0.3609
0.2908 0.4184 0.0000
0.2908 0.0000 0.4184
0.0000 0.2785 0.7215
0.1221 0.0000 0.7559
0.6658 0.8342 0.8342
0.5000 0.1658 0.8342
0.3342 0.1658 0.1658
0.1221 0.7559 0.0000
0.5000 0.8342 0.1658
0.8779 0.0000 0.2441
0.8779 0.2441 0.0000
0.3967 0.2065 0.5000
0.1033 0.7935 0.5000
0.3967 0.5000 0.2065
0.8967 0.2065 0.5000
0.8967 0.5000 0.2065
0.1033 0.5000 0.7935
0.6033 0.7935 0.5000
0.6033 0.5000 0.7935
```

Computed properties:
**Size of the total moment**: 0.67 μB/f.u.
**E_form (uncorrected)**: -1.535 eV/atom
**Total energy**: -6.11 eV per atom



[6]
This record from Alexandria describes crystalline Sm6PSe5 at its relaxed geometry. The functional is PBE.

Structure (POSCAR):
```
Sm6PSe5
1.0
7.0909 -0.1144 -1.3318
-3.8346 5.9657 -1.3318
0.1463 0.2628 7.2246
P Sm Se
1 6 5
Direct
0.0000 0.0000 0.0000
0.0789 0.3944 0.2373
0.6056 0.9211 0.7627
0.2366 0.2366 0.7624
0.7634 0.7634 0.2376
0.9211 0.6056 0.7627
0.3944 0.0789 0.2373
0.8296 0.1704 0.5000
0.1704 0.8296 0.5000
0.5000 0.5000 0.5000
0.3336 0.6664 0.0000
0.6664 0.3336 0.0000
```

Computed properties:
**Size of the total moment**: 0.00 μB/f.u.
**E_form (uncorrected)**: -1.826 eV/atom
**Total energy**: -6.09 eV per atom



Question: Which of these has the highest size of the total moment?
Answer: Sm4P2Se



Question: E_form (uncorrected) of number 4 (Sm4P2Se)?
Answer: -1.427 eV/atom